No. 1
Here is an optimized crystal structure of HgSbPb5 from Alexandria. Energies are from GGA-PBE.

## Properties
The value obtained for the formation energy from raw total energies is 98 meV per atom. The calculation puts the excess energy over the best structure of this formula in the dataset at 0.43 eV/f.u. The density of states at the Fermi level comes out at 0.507 states/eV/atom. The magnetization comes out at 0.00 μB/atom.

```
HgSbPb5
1.0
6.537 -3.476 0.000
6.537 3.476 0.000
-2.646 0.000 9.931
Hg Sb Pb
2 2 10
direct
0.248 0.752 0.750 Hg
0.752 0.248 0.250 Hg
0.000 0.000 0.000 Sb
0.000 0.000 0.500 Sb
0.049 0.404 0.147 Pb
0.228 0.464 0.476 Pb
0.287 0.713 0.250 Pb
0.404 0.049 0.647 Pb
0.464 0.228 0.976 Pb
0.536 0.772 0.024 Pb
0.596 0.951 0.353 Pb
0.713 0.287 0.750 Pb
0.772 0.536 0.524 Pb
0.951 0.596 0.853 Pb
```

***

No. 2
Here is an optimized crystal structure of Hg2SbPb from Alexandria. Energies are from GGA-PBE.

## Properties
The value obtained for the formation energy from raw total energies is 84 meV per atom. The density of states at the Fermi level comes out at 0.453 states/eV/atom. The magnetization comes out at 0.00 μB/atom.

```
Hg2SbPb
1.0
3.493 0.000 0.000
0.000 5.428 0.000
0.000 0.000 5.929
Hg Sb Pb
2 1 1
direct
0.000 0.000 0.000 Hg
0.500 0.000 0.500 Hg
0.000 0.500 0.500 Sb
0.500 0.500 0.000 Pb
```

***

No. 3
Here is an optimized crystal structure of HgSb2Pb from Alexandria. Energies are from GGA-PBE.

## Properties
The value obtained for the formation energy from raw total energies is 141 meV per atom. The calculation puts the excess energy over the best structure of this formula in the dataset at 0.22 eV/f.u. The density of states at the Fermi level comes out at 0.430 states/eV/atom. The magnetization comes out at 0.00 μB/atom.

```
HgSb2Pb
1.0
3.734 0.000 0.000
0.000 5.500 0.000
0.000 0.000 10.990
Hg Sb Pb
2 4 2
direct
0.000 0.000 0.000 Hg
0.500 0.500 0.000 Hg
0.000 0.000 0.514 Sb
0.000 0.500 0.754 Sb
0.500 0.000 0.754 Sb
0.500 0.500 0.514 Sb
0.000 0.500 0.256 Pb
0.500 0.000 0.256 Pb
```

***

No. 4
Here is an optimized crystal structure of Hg2SbPb6 from Alexandria. Energies are from GGA-PBE.

## Properties
The value obtained for the formation energy from raw total energies is 61 meV per atom. The calculation puts the excess energy over the best structure of this formula in the dataset at 0.03 eV/f.u. The density of states at the Fermi level comes out at 0.563 states/eV/atom. The magnetization comes out at 0.00 μB/atom.

```
Hg2SbPb6
1.0
2.534 -8.357 0.000
2.534 8.357 0.000
-2.281 0.000 6.545
Hg Sb Pb
2 1 6
direct
0.169 0.831 0.000 Hg
0.831 0.169 0.000 Hg
0.000 0.000 0.500 Sb
0.153 0.501 0.681 Pb
0.334 0.334 0.180 Pb
0.499 0.847 0.319 Pb
0.501 0.153 0.681 Pb
0.666 0.666 0.820 Pb
0.847 0.499 0.319 Pb
```

***

No. 5
Here is an optimized crystal structure of HgSb2Pb from Alexandria. Energies are from GGA-PBE.

## Properties
The value obtained for the formation energy from raw total energies is 149 meV per atom. The calculation puts the excess energy over the best structure of this formula in the dataset at 0.26 eV/f.u. The density of states at the Fermi level comes out at 0.557 states/eV/atom. The magnetization comes out at 0.00 μB/atom.

```
HgSb2Pb
1.0
3.951 0.000 0.000
0.000 5.300 0.000
0.000 0.000 10.723
Hg Sb Pb
2 4 2
direct
0.000 0.000 0.000 Hg
0.500 0.500 0.000 Hg
0.000 0.500 0.244 Sb
0.000 0.500 0.756 Sb
0.500 0.000 0.244 Sb
0.500 0.000 0.756 Sb
0.000 0.000 0.500 Pb
0.500 0.500 0.500 Pb
```

***

No. 6
Here is an optimized crystal structure of Hg3Sb2Pb2 from Alexandria. Energies are from GGA-PBE.

## Properties
The value obtained for the formation energy from raw total energies is 58 meV per atom. The density of states at the Fermi level comes out at 0.314 states/eV/atom. The magnetization comes out at 0.00 μB/atom.

```
Hg3Sb2Pb2
1.0
3.334 0.000 0.000
-0.145 5.419 0.000
-1.459 -2.425 11.394
Hg Sb Pb
3 2 2
direct
0.000 0.000 0.000 Hg
0.330 0.565 0.133 Hg
0.670 0.435 0.867 Hg
0.150 0.704 0.422 Sb
0.850 0.296 0.578 Sb
0.226 0.855 0.702 Pb
0.774 0.145 0.298 Pb
```

***

No. 7
Here is an optimized crystal structure of HgSb2Pb from Alexandria. Energies are from GGA-PBE.

## Properties
The value obtained for the formation energy from raw total energies is 137 meV per atom. The calculation puts the excess energy over the best structure of this formula in the dataset at 0.20 eV/f.u. The density of states at the Fermi level comes out at 0.462 states/eV/atom. The magnetization comes out at 0.00 μB/atom.

```
HgSb2Pb
1.0
6.493 0.000 0.000
0.000 10.574 0.000
-0.280 0.000 3.325
Hg Sb Pb
2 4 2
direct
0.000 0.000 0.000 Hg
0.500 0.500 0.000 Hg
0.250 0.250 0.500 Sb
0.250 0.750 0.500 Sb
0.750 0.250 0.500 Sb
0.750 0.750 0.500 Sb
0.000 0.500 0.000 Pb
0.500 0.000 0.000 Pb
```

***

No. 8
Here is an optimized crystal structure of Hg2Sb3Pb3 from Alexandria. Energies are from GGA-PBE.

## Properties
The value obtained for the formation energy from raw total energies is 90 meV per atom. The density of states at the Fermi level comes out at 0.633 states/eV/atom. The magnetization comes out at 0.00 μB/atom.

```
Hg2Sb3Pb3
1.0
9.518 0.000 0.000
-4.759 8.243 0.000
0.000 0.000 6.504
Hg Sb Pb
4 6 6
direct
0.333 0.667 0.000 Hg
0.333 0.667 0.500 Hg
0.667 0.333 0.000 Hg
0.667 0.333 0.500 Hg
0.000 0.352 0.250 Sb
0.000 0.648 0.750 Sb
0.352 0.000 0.250 Sb
0.352 0.352 0.750 Sb
0.648 0.000 0.750 Sb
0.648 0.648 0.250 Sb
0.000 0.317 0.750 Pb
0.000 0.683 0.250 Pb
0.317 0.000 0.750 Pb
0.317 0.317 0.250 Pb
0.683 0.000 0.250 Pb
0.683 0.683 0.750 Pb
```

***

No. 9
Here is an optimized crystal structure of ScHgSbPb2 from Alexandria. Energies are from GGA-PBE.

## Properties
The value obtained for the formation energy from raw total energies is 169 meV per atom. The density of states at the Fermi level comes out at 0.786 states/eV/atom. The magnetization comes out at 0.00 μB/atom.

```
ScHgSbPb2
1.0
5.702 0.000 0.000
0.000 5.702 0.000
0.000 0.000 5.440
Sc Hg Sb Pb
1 1 1 2
direct
0.000 0.000 0.000 Sc
0.500 0.500 0.500 Hg
0.000 0.000 0.500 Sb
0.000 0.500 0.000 Pb
0.500 0.000 0.000 Pb
```

***

No. 10
Here is an optimized crystal structure of HgSb2PbSe from Alexandria. Energies are from GGA-PBE.

## Properties
The value obtained for the formation energy from raw total energies is 364 meV per atom. The density of states at the Fermi level comes out at 1.208 states/eV/atom. The magnetization comes out at 0.00 μB/atom.

```
HgSb2PbSe
1.0
5.526 0.000 0.000
0.000 5.526 0.000
0.000 0.000 5.315
Hg Sb Pb Se
1 2 1 1
direct
0.000 0.000 0.000 Hg
0.000 0.500 0.500 Sb
0.500 0.000 0.500 Sb
0.500 0.500 0.000 Pb
0.000 0.000 0.500 Se
```

***

No. 11
Here is an optimized crystal structure of HgSbPbSe2 from Alexandria. Energies are from GGA-PBE.

## Properties
The value obtained for the formation energy from raw total energies is 570 meV per atom. The density of states at the Fermi level comes out at 0.872 states/eV/atom. The magnetization comes out at 0.20 μB/atom.

```
HgSbPbSe2
1.0
5.469 0.000 0.000
0.000 5.469 0.000
0.000 0.000 5.987
Hg Sb Pb Se
1 1 1 2
direct
0.000 0.000 0.000 Hg
0.500 0.500 0.000 Sb
0.500 0.500 0.500 Pb
0.000 0.500 0.500 Se
0.500 0.000 0.500 Se
```

***

No. 12
Here is an optimized crystal structure of Sn2HgSbPb from Alexandria. Energies are from GGA-PBE.

## Properties
The value obtained for the formation energy from raw total energies is 120 meV per atom. The density of states at the Fermi level comes out at 0.478 states/eV/atom. The magnetization comes out at 0.00 μB/atom.

```
Sn2HgSbPb
1.0
3.164 -7.707 0.000
3.164 7.707 0.000
0.000 0.000 6.206
Sn Hg Sb Pb
4 2 2 2
direct
0.245 0.245 0.000 Sn
0.245 0.245 0.500 Sn
0.755 0.755 0.000 Sn
0.755 0.755 0.500 Sn
0.354 0.646 0.750 Hg
0.646 0.354 0.250 Hg
0.161 0.839 0.750 Sb
0.839 0.161 0.250 Sb
0.274 0.726 0.250 Pb
0.726 0.274 0.750 Pb
```

***

No. 13
Here is an optimized crystal structure of Hg2SbTePb from Alexandria. Energies are from GGA-PBE.

## Properties
The value obtained for the formation energy from raw total energies is 273 meV per atom. The calculation puts the excess energy over the best structure of this formula in the dataset at 0.00 eV/f.u. The density of states at the Fermi level comes out at 0.474 states/eV/atom. The magnetization comes out at 0.09 μB/atom.

```
Hg2SbTePb
1.0
5.522 0.000 0.000
0.000 5.522 0.000
0.000 0.000 6.101
Hg Sb Te Pb
2 1 1 1
direct
0.000 0.500 0.000 Hg
0.500 0.000 0.000 Hg
0.000 0.000 0.000 Sb
0.000 0.000 0.500 Te
0.500 0.500 0.500 Pb
```

***

No. 14
Here is an optimized crystal structure of Hg2SbTePb from Alexandria. Energies are from GGA-PBE.

## Properties
The value obtained for the formation energy from raw total energies is 521 meV per atom. The calculation puts the excess energy over the best structure of this formula in the dataset at 1.24 eV/f.u. The density of states at the Fermi level comes out at 0.769 states/eV/atom. The magnetization comes out at 0.08 μB/atom.

```
Hg2SbTePb
1.0
5.549 0.000 0.000
0.000 5.549 0.000
0.000 0.000 6.221
Hg Sb Te Pb
2 1 1 1
direct
0.000 0.500 0.000 Hg
0.500 0.000 0.000 Hg
0.000 0.000 0.500 Sb
0.500 0.500 0.500 Te
0.500 0.500 0.000 Pb
```

***

No. 15
Here is an optimized crystal structure of TlHgSbPb3 from Alexandria. Energies are from GGA-PBE.

## Properties
The value obtained for the formation energy from raw total energies is 6 meV per atom. The density of states at the Fermi level comes out at 0.403 states/eV/atom. The magnetization comes out at 0.00 μB/atom.

```
TlHgSbPb3
1.0
8.465 0.000 0.000
0.000 4.262 0.000
-3.376 0.000 10.126
Tl Hg Sb Pb
2 2 2 6
direct
0.014 0.250 0.135 Tl
0.986 0.750 0.865 Tl
0.001 0.250 0.616 Hg
0.999 0.750 0.384 Hg
0.360 0.750 0.215 Sb
0.640 0.250 0.785 Sb
0.330 0.250 0.444 Pb
0.333 0.750 0.708 Pb
0.335 0.250 0.973 Pb
0.665 0.750 0.027 Pb
0.667 0.250 0.292 Pb
0.670 0.750 0.556 Pb
```

***

No. 16
Here is an optimized crystal structure of TlHg2SbPb2 from Alexandria. Energies are from GGA-PBE.

## Properties
The value obtained for the formation energy from raw total energies is 22 meV per atom. The density of states at the Fermi level comes out at 0.470 states/eV/atom. The magnetization comes out at 0.00 μB/atom.

```
TlHg2SbPb2
1.0
5.254 0.000 0.000
0.000 9.934 0.000
0.000 0.000 6.824
Tl Hg Sb Pb
2 4 2 4
direct
0.000 0.132 0.000 Tl
0.000 0.868 0.500 Tl
0.000 0.462 0.951 Hg
0.000 0.538 0.451 Hg
0.500 0.026 0.291 Hg
0.500 0.974 0.791 Hg
0.500 0.309 0.756 Sb
0.500 0.691 0.256 Sb
0.000 0.223 0.500 Pb
0.000 0.777 0.000 Pb
0.500 0.366 0.224 Pb
0.500 0.634 0.724 Pb
```

***

No. 17
Here is an optimized crystal structure of Tl3Hg2Sb2Pb4 from Alexandria. Energies are from GGA-PBE.

## Properties
The value obtained for the formation energy from raw total energies is 43 meV per atom. The density of states at the Fermi level comes out at 0.604 states/eV/atom. The magnetization comes out at 0.00 μB/atom.

```
Tl3Hg2Sb2Pb4
1.0
5.598 0.000 0.000
-2.799 4.848 0.000
0.000 0.000 12.736
Tl Hg Sb Pb
3 2 2 4
direct
0.000 0.000 0.000 Tl
0.000 0.000 0.287 Tl
0.000 0.000 0.713 Tl
0.333 0.667 0.621 Hg
0.667 0.333 0.379 Hg
0.333 0.667 0.122 Sb
0.667 0.333 0.878 Sb
0.333 0.667 0.378 Pb
0.333 0.667 0.873 Pb
0.667 0.333 0.127 Pb
0.667 0.333 0.622 Pb
```

***

No. 18
Here is an optimized crystal structure of Tl3Hg2SbPb3 from Alexandria. Energies are from GGA-PBE.

## Properties
The value obtained for the formation energy from raw total energies is 27 meV per atom. The density of states at the Fermi level comes out at 0.663 states/eV/atom. The magnetization comes out at 0.00 μB/atom.

```
Tl3Hg2SbPb3
1.0
8.758 0.000 0.000
-4.379 7.584 0.000
0.000 0.000 4.165
Tl Hg Sb Pb
3 2 1 3
direct
0.000 0.390 0.000 Tl
0.390 0.000 0.000 Tl
0.610 0.610 0.000 Tl
0.333 0.667 0.500 Hg
0.667 0.333 0.500 Hg
0.000 0.000 0.000 Sb
0.000 0.721 0.500 Pb
0.279 0.279 0.500 Pb
0.721 0.000 0.500 Pb
```

***

No. 19
Here is an optimized crystal structure of Tl2Hg2SbPb2 from Alexandria. Energies are from GGA-PBE.

## Properties
The value obtained for the formation energy from raw total energies is 1 meV per atom. The density of states at the Fermi level comes out at 0.366 states/eV/atom. The magnetization comes out at 0.00 μB/atom.

```
Tl2Hg2SbPb2
1.0
4.333 0.000 0.000
2.125 5.783 0.000
0.005 1.171 8.371
Tl Hg Sb Pb
2 2 1 2
direct
0.066 0.369 0.211 Tl
0.934 0.631 0.789 Tl
0.347 0.805 0.066 Hg
0.653 0.195 0.934 Hg
0.500 0.500 0.500 Sb
0.207 0.092 0.635 Pb
0.793 0.908 0.365 Pb
```

***

No. 20
Here is an optimized crystal structure of TlHgSbPb from Alexandria. Energies are from GGA-PBE.

## Properties
The value obtained for the formation energy from raw total energies is 22 meV per atom. The calculation puts the excess energy over the best structure of this formula in the dataset at 0.00 eV/f.u. The density of states at the Fermi level comes out at 0.445 states/eV/atom. The magnetization comes out at 0.00 μB/atom.

```
TlHgSbPb
1.0
3.804 0.000 0.000
0.000 3.804 0.000
0.000 0.000 8.378
Tl Hg Sb Pb
1 1 1 1
direct
0.000 0.000 0.000 Tl
0.500 0.500 0.742 Hg
0.500 0.500 0.258 Sb
0.000 0.000 0.482 Pb
```